1.
## Cs8KNa5 (GGA-PBE)

Data for Cs8KNa5 after structural relaxation.

Lattice parameters (Å, degrees): 11.4714 11.4714 11.4714 109.38 109.38 109.66
With the nearest neighbours (Å) after each atom.
Positions (direct):
1 Cs 0.1336 0.2251 0.7618  5 Na 4.35-4.76, 1 K 4.59, 1 Cs 4.79
2 Cs 0.1448 0.7510 0.7591  5 Na 4.39-4.81
3 Cs 0.2490 0.0081 0.3938  5 Na 4.39-4.81
4 Cs 0.4633 0.3718 0.2382  5 Na 4.35-4.76, 1 K 4.59, 1 Cs 4.79
5 Cs 0.6143 0.8552 0.6062  5 Na 4.39-4.81
6 Cs 0.6282 0.8664 0.0915  5 Na 4.35-4.76, 1 K 4.59, 1 Cs 4.79
7 Cs 0.7749 0.5367 0.9085  5 Na 4.35-4.76, 1 K 4.59, 1 Cs 4.79
8 Cs 0.9919 0.3857 0.2409  5 Na 4.39-4.81
9 K 0.7500 0.2500 0.5000  8 Cs 4.59-4.96
10 Na 0.0000 0.0000 0.0000  8 Cs 4.42-4.61
11 Na 0.2562 0.6380 0.1167  8 Cs 4.35-4.81
12 Na 0.3620 0.4786 0.6182  8 Cs 4.35-4.81
13 Na 0.5214 0.1395 0.8833  8 Cs 4.35-4.81
14 Na 0.8605 0.7438 0.3818  8 Cs 4.35-4.81

Results
DOS(E_F) = 11.0 states/eV/cell
Space-group type = I-4, No. 82
E_form = 47 meV per atom

---

2.
## Cs3KNa (GGA-PBE)

Data for Cs3KNa after structural relaxation.

Lattice parameters (Å, degrees): 8.3491 8.3491 8.3491 90.00 90.00 90.00
With the nearest neighbours (Å) after each atom.
Positions (direct):
1 Cs 0.0000 0.0000 0.5000  2 K 4.17
2 Cs 0.0000 0.5000 0.0000  2 K 4.17
3 Cs 0.5000 0.0000 0.0000  2 K 4.17
4 K 0.0000 0.0000 0.0000  6 Cs 4.17
5 Na 0.5000 0.5000 0.5000  12 Cs 5.90

Results
DOS(E_F) = 6.9 states/eV/cell
Space-group type = Pm-3m, No. 221
Offset from the most stable computed form = 0.92 eV per formula unit
E_form = 220 meV per atom

---

3.
## Cs4K2Na (GGA-PBE)

Data for Cs4K2Na after structural relaxation.

Lattice parameters (Å, degrees): 26.1748 4.9932 10.5950 90.00 109.74 90.00
With the nearest neighbours (Å) after each atom.
Positions (direct):
1 Cs 0.0815 0.0000 0.4145  1 Na 4.18
2 Cs 0.1244 0.5000 0.9231  2 Na 4.39, 1 K 4.79
3 Cs 0.3756 0.0000 0.0769  2 Na 4.39, 1 K 4.79
4 Cs 0.4185 0.5000 0.5855  1 Na 4.18
5 Cs 0.5815 0.5000 0.4145  1 Na 4.18
6 Cs 0.6244 0.0000 0.9231  2 Na 4.39, 1 K 4.79
7 Cs 0.8756 0.5000 0.0769  2 Na 4.39, 1 K 4.79
8 Cs 0.9185 0.0000 0.5855  1 Na 4.18
9 K 0.2483 0.0000 0.3121  4 K 4.67-4.99, 6 Cs 4.79-5.08
10 K 0.2517 0.5000 0.6879  4 K 4.67-4.99, 6 Cs 4.79-5.08
11 K 0.7483 0.5000 0.3121  4 K 4.67-4.99, 6 Cs 4.79-5.08
12 K 0.7517 0.0000 0.6879  4 K 4.67-4.99, 6 Cs 4.79-5.08
13 Na 0.0000 0.0000 0.0000  6 Cs 4.18-4.39
14 Na 0.5000 0.5000 0.0000  6 Cs 4.18-4.39

Results
DOS(E_F) = 12.2 states/eV/cell
Space-group type = C2/m, No. 12
Offset from the most stable computed form = 0.16 eV per formula unit
E_form = 44 meV per atom

---

4.
## Cs7KNa2 (GGA-PBE)

Data for Cs7KNa2 after structural relaxation.

Lattice parameters (Å, degrees): 13.9927 13.9927 5.2524 90.00 90.00 103.30
With the nearest neighbours (Å) after each atom.
Positions (direct):
1 Cs 0.0000 0.0000 0.0000  10 Cs 5.25-5.42
2 Cs 0.1354 0.3845 0.0000  1 Na 4.17
3 Cs 0.2159 0.7841 0.5000  2 Na 4.25
4 Cs 0.3845 0.1354 0.0000  1 Na 4.17
5 Cs 0.6155 0.8646 0.0000  1 Na 4.17
6 Cs 0.7841 0.2159 0.5000  2 Na 4.25
7 Cs 0.8646 0.6155 0.0000  1 Na 4.17
8 K 0.5000 0.5000 0.5000  4 Na 3.91
9 Na 0.3681 0.6319 0.0000  2 K 3.91, 4 Cs 4.17-4.25
10 Na 0.6319 0.3681 0.0000  2 K 3.91, 4 Cs 4.17-4.25

Results
DOS(E_F) = 10.3 states/eV/cell
Space-group type = Cmmm, No. 65
E_form = 54 meV per atom

---

5.
## Cs5K6Na2 (GGA-PBE)

Data for Cs5K6Na2 after structural relaxation.

Lattice parameters (Å, degrees): 12.7899 12.7899 12.7899 57.89 57.89 57.89
With the nearest neighbours (Å) after each atom.
Positions (direct):
1 Cs 0.0000 0.0000 0.0000  2 Na 4.24
2 Cs 0.2647 0.2647 0.2647  1 Na 4.18
3 Cs 0.4145 0.4145 0.4145  1 Cs 4.77, 6 K 4.99
4 Cs 0.5855 0.5855 0.5855  1 Cs 4.77, 6 K 4.99
5 Cs 0.7353 0.7353 0.7353  1 Na 4.18
6 K 0.1624 0.5000 0.8376  3 K 4.02-4.18, 2 Na 4.24
7 K 0.1624 0.8376 0.5000  3 K 4.02-4.18, 2 Na 4.24
8 K 0.5000 0.1624 0.8376  3 K 4.02-4.18, 2 Na 4.24
9 K 0.5000 0.8376 0.1624  3 K 4.02-4.18, 2 Na 4.24
10 K 0.8376 0.1624 0.5000  3 K 4.02-4.18, 2 Na 4.24
11 K 0.8376 0.5000 0.1624  3 K 4.02-4.18, 2 Na 4.24
12 Na 0.1333 0.1333 0.1333  2 Cs 4.18-4.24, 6 K 4.24
13 Na 0.8667 0.8667 0.8667  2 Cs 4.18-4.24, 6 K 4.24

Results
DOS(E_F) = 11.7 states/eV/cell
Space-group type = R-3m, No. 166
E_form = 125 meV per atom

---

6.
## Cs2KNa10 (GGA-PBE)

Data for Cs2KNa10 after structural relaxation.

Lattice parameters (Å, degrees): 8.8814 21.7887 7.6639 90.00 90.00 90.00
With the nearest neighbours (Å) after each atom.
Positions (direct):
1 Cs 0.1027 0.1265 0.0000  4 Na 4.05-4.50
2 Cs 0.3973 0.6265 0.0000  4 Na 4.05-4.50
3 Cs 0.6027 0.3735 0.0000  4 Na 4.05-4.50
4 Cs 0.8973 0.8735 0.0000  4 Na 4.05-4.50
5 K 0.0000 0.5000 0.5000  4 Na 3.72-3.74
6 K 0.5000 0.0000 0.5000  4 Na 3.72-3.74
7 Na 0.0851 0.7760 0.5000  7 Na 3.35-3.62
8 Na 0.1113 0.3365 0.2375  6 Na 3.61-4.02
9 Na 0.1113 0.3365 0.7625  6 Na 3.61-4.02
10 Na 0.1111 0.9371 0.5000  3 Na 3.38-3.59, 1 K 3.72
11 Na 0.2488 0.1377 0.5000  3 Na 3.35-3.59, 1 K 3.74
12 Na 0.2512 0.6377 0.5000  3 Na 3.35-3.59, 1 K 3.74
13 Na 0.3889 0.4371 0.5000  3 Na 3.38-3.59, 1 K 3.72
14 Na 0.3887 0.8365 0.2375  6 Na 3.61-4.02
15 Na 0.3887 0.8365 0.7625  6 Na 3.61-4.02
16 Na 0.4149 0.2760 0.5000  7 Na 3.35-3.62
17 Na 0.5851 0.7240 0.5000  7 Na 3.35-3.62
18 Na 0.6113 0.1635 0.2375  6 Na 3.61-4.02
19 Na 0.6113 0.1635 0.7625  6 Na 3.61-4.02
20 Na 0.6111 0.5629 0.5000  3 Na 3.38-3.59, 1 K 3.72
21 Na 0.7488 0.3623 0.5000  3 Na 3.35-3.59, 1 K 3.74
22 Na 0.7512 0.8623 0.5000  3 Na 3.35-3.59, 1 K 3.74
23 Na 0.8889 0.0629 0.5000  3 Na 3.38-3.59, 1 K 3.72
24 Na 0.8887 0.6635 0.2375  6 Na 3.61-4.02
25 Na 0.8887 0.6635 0.7625  6 Na 3.61-4.02
26 Na 0.9149 0.2240 0.5000  7 Na 3.35-3.62

Results
DOS(E_F) = 14.0 states/eV/cell
Space-group type = Pbam, No. 55
E_form = 89 meV per atom

---

7.
## CsK5Na4 (GGA-PBE)

Data for CsK5Na4 after structural relaxation.

Lattice parameters (Å, degrees): 4.7492 4.7492 27.0355 90.00 90.00 90.00
With the nearest neighbours (Å) after each atom.
Positions (direct):
1 Cs 0.0000 0.0000 0.0000  4 Cs 4.75, 8 K 5.14
2 K 0.5000 0.5000 0.1441  4 Na 4.14
3 K 0.5000 0.5000 0.3221  8 Na 4.12-4.14
4 K 0.5000 0.5000 0.5000  8 Na 4.12
5 K 0.5000 0.5000 0.6779  8 Na 4.12-4.14
6 K 0.5000 0.5000 0.8559  4 Na 4.14
7 Na 0.0000 0.0000 0.2335  8 K 4.12-4.14
8 Na 0.0000 0.0000 0.4119  8 K 4.12-4.14
9 Na 0.0000 0.0000 0.5881  8 K 4.12-4.14
10 Na 0.0000 0.0000 0.7665  8 K 4.12-4.14

Results
DOS(E_F) = 6.6 states/eV/cell
Space-group type = P4/mmm, No. 123
E_form = 25 meV per atom

---

8.
## CsK5Na (GGA-PBE)

Data for CsK5Na after structural relaxation.

Lattice parameters (Å, degrees): 8.6061 13.6297 9.5744 90.00 90.00 90.00
With the nearest neighbours (Å) after each atom.
Positions (direct):
1 Cs 0.0000 0.0000 0.0000  10 K 4.78-4.79
2 Cs 0.5000 0.5000 0.0000  10 K 4.78-4.79
3 K 0.0000 0.0000 0.5000  2 Na 4.30, 8 K 4.59, 2 Cs 4.79
4 K 0.2500 0.2500 0.2694  5 K 4.30-4.59, 2 Na 4.59, 2 Cs 4.78
5 K 0.2500 0.2500 0.7306  5 K 4.30-4.59, 2 Na 4.59, 2 Cs 4.78
6 K 0.2500 0.7500 0.2694  5 K 4.30-4.59, 2 Na 4.59, 2 Cs 4.78
7 K 0.2500 0.7500 0.7306  5 K 4.30-4.59, 2 Na 4.59, 2 Cs 4.78
8 K 0.5000 0.5000 0.5000  2 Na 4.30, 8 K 4.59, 2 Cs 4.79
9 K 0.7500 0.2500 0.2694  5 K 4.30-4.59, 2 Na 4.59, 2 Cs 4.78
10 K 0.7500 0.2500 0.7306  5 K 4.30-4.59, 2 Na 4.59, 2 Cs 4.78
11 K 0.7500 0.7500 0.2694  5 K 4.30-4.59, 2 Na 4.59, 2 Cs 4.78
12 K 0.7500 0.7500 0.7306  5 K 4.30-4.59, 2 Na 4.59, 2 Cs 4.78
13 Na 0.0000 0.5000 0.5000  10 K 4.30-4.59
14 Na 0.5000 0.0000 0.5000  10 K 4.30-4.59

Results
DOS(E_F) = 10.2 states/eV/cell
Space-group type = Cmmm, No. 65
Offset from the most stable computed form = 0.20 eV per formula unit
E_form = 77 meV per atom

---

9.
## Cs2KNa2 (GGA-PBE)

Data for Cs2KNa2 after structural relaxation.

Lattice parameters (Å, degrees): 10.8843 10.8843 6.1988 90.00 90.00 90.00
With the nearest neighbours (Å) after each atom.
Positions (direct):
1 Cs 0.1735 0.3265 0.0000  6 Na 4.43-4.49
2 Cs 0.3265 0.8265 0.0000  6 Na 4.43-4.49
3 Cs 0.6735 0.1735 0.0000  6 Na 4.43-4.49
4 Cs 0.8265 0.6735 0.0000  6 Na 4.43-4.49
5 K 0.0000 0.0000 0.5000  4 Na 4.33
6 K 0.5000 0.5000 0.5000  4 Na 4.33
7 Na 0.1209 0.6209 0.5000  1 Na 3.72
8 Na 0.3791 0.1209 0.5000  1 Na 3.72
9 Na 0.6209 0.8791 0.5000  1 Na 3.72
10 Na 0.8791 0.3791 0.5000  1 Na 3.72

Results
DOS(E_F) = 9.4 states/eV/cell
Space-group type = P4/mbm, No. 127
Offset from the most stable computed form = 0.00 eV per formula unit
E_form = 21 meV per atom

---

10.
## Cs2KNa4 (GGA-PBE)

Data for Cs2KNa4 after structural relaxation.

Lattice parameters (Å, degrees): 6.8371 6.8371 22.2159 90.00 90.00 90.00
With the nearest neighbours (Å) after each atom.
Positions (direct):
1 Cs 0.0000 0.0000 0.1372  5 Na 4.31-4.58
2 Cs 0.0000 0.0000 0.8628  5 Na 4.31-4.58
3 Cs 0.5000 0.5000 0.3628  5 Na 4.31-4.58
4 Cs 0.5000 0.5000 0.6372  5 Na 4.31-4.58
5 K 0.0000 0.0000 0.5000  6 Na 3.42-3.75
6 K 0.5000 0.5000 0.0000  6 Na 3.42-3.75
7 Na 0.0000 0.0000 0.3310  1 K 3.75
8 Na 0.0000 0.0000 0.6690  1 K 3.75
9 Na 0.0000 0.5000 0.0000  2 K 3.42
10 Na 0.0000 0.5000 0.5000  2 K 3.42
11 Na 0.5000 0.0000 0.0000  2 K 3.42
12 Na 0.5000 0.0000 0.5000  2 K 3.42
13 Na 0.5000 0.5000 0.1690  1 K 3.75
14 Na 0.5000 0.5000 0.8310  1 K 3.75

Results
DOS(E_F) = 9.1 states/eV/cell
Space-group type = I4/mmm, No. 139
E_form = 175 meV per atom

---

no.,electronic total energy (eV/cell),calculated density (Mg/m³)
1,-13.87,1.739
2,-3.88,1.315
3,-13.24,1.613
4,-9.17,1.685
5,-11.86,1.115
6,-29.68,1.198
7,-11.37,1.145
8,-14.24,1.039
9,-10.67,1.587
10,-13.71,1.269